{
  "formula": "La8Ir2OsRh",
  "functional": "PBE",
  "state": "relaxed",
  "lattice": [[-3.8918, 0.7226, 5.6111], [-4.8409, -3.6885, -2.9141], [3.4621, -7.1702, 3.3246]],
  "species": ["Rh", "La", "La", "La", "La", "La", "La", "La", "La", "Ir", "Ir", "Os"],
  "frac_coords": [[0.0000, 0.0000, 0.5000], [0.3280, 0.2740, 0.0000], [0.3314, 0.2763, 0.5000], [0.6686, 0.7237, 0.5000], [0.1699, 0.7778, 0.7538], [0.8301, 0.2222, 0.2462], [0.1699, 0.7778, 0.2462], [0.8301, 0.2222, 0.7538], [0.6720, 0.7260, 0.0000], [0.5000, 0.5000, 0.2512], [0.5000, 0.5000, 0.7488], [0.0000, 0.0000, 0.0000]],
  "dos_ef_per_ev_cell": 7.94,
  "crystal_system": "monoclinic",
  "formation_energy_mev_per_atom": -494
}

{
  "formula": "TbFe2Tc",
  "functional": "PBE",
  "state": "relaxed",
  "lattice": [[-1.3085, -2.4011, -1.0295], [0.4970, -0.8721, -2.7441], [6.5010, -5.9719, 1.5196]],
  "species": ["Tc", "Fe", "Fe", "Tb"],
  "frac_coords": [[0.0000, 0.0000, 0.0000], [0.7392, 0.7392, 0.7823], [0.2608, 0.2608, 0.2177], [0.5000, 0.5000, 0.5000]],
  "dos_ef_per_ev_cell": 5.39,
  "crystal_system": "trigonal",
  "formation_energy_mev_per_atom": 572
}

{
  "formula": "BeGa2Pd",
  "functional": "PBE",
  "state": "relaxed",
  "lattice": [[3.7679, 0.0000, 0.0000], [0.0000, 3.7679, 0.0000], [1.8840, 1.8840, 8.6676]],
  "species": ["Ga", "Ga", "Ga", "Ga", "Be", "Be", "Pd", "Pd"],
  "frac_coords": [[0.6134, 0.1250, 0.2500], [0.8750, 0.8634, 0.7500], [0.3750, 0.3866, 0.7500], [0.1366, 0.6250, 0.2500], [0.5000, 0.5000, 0.0000], [0.2500, 0.7500, 0.5000], [0.7500, 0.2500, 0.5000], [0.0000, 0.0000, 0.0000]],
  "dos_ef_per_ev_cell": 3.35,
  "crystal_system": "tetragonal",
  "formation_energy_mev_per_atom": -24
}

{
  "formula": "Sr2PmSi3Pt12",
  "functional": "PBE",
  "state": "relaxed",
  "lattice": [[-5.6183, -2.1425, -4.9363], [-0.2817, -7.6444, -1.4167], [-5.9884, -3.6648, 3.3513]],
  "species": ["Sr", "Sr", "Si", "Si", "Si", "Pt", "Pt", "Pt", "Pt", "Pt", "Pt", "Pt", "Pt", "Pt", "Pt", "Pt", "Pt", "Pm"],
  "frac_coords": [[0.4029, 0.4029, 0.4029], [0.5971, 0.5971, 0.5971], [0.0000, 0.0000, 0.5000], [0.5000, 0.0000, 0.0000], [0.0000, 0.5000, 0.0000], [0.5978, 0.1434, 0.1434], [0.3445, 0.9060, 0.3445], [0.1434, 0.1434, 0.5978], [0.6555, 0.0940, 0.6555], [0.8566, 0.8566, 0.4022], [0.1434, 0.5978, 0.1434], [0.4022, 0.8566, 0.8566], [0.0940, 0.6555, 0.6555], [0.8566, 0.4022, 0.8566], [0.9060, 0.3445, 0.3445], [0.3445, 0.3445, 0.9060], [0.6555, 0.6555, 0.0940], [0.0000, 0.0000, 0.0000]],
  "dos_ef_per_ev_cell": 6.62,
  "crystal_system": "trigonal",
  "formation_energy_uncorrected_mev_per_atom": -431
}

{
  "formula": "VSbTeI2",
  "functional": "PBE",
  "state": "relaxed",
  "lattice": [[-4.8104, 2.2502, -2.4532], [-3.3167, -3.6083, 3.1940], [-0.2915, 4.1145, 4.3456]],
  "species": ["Sb", "I", "I", "V", "Te"],
  "frac_coords": [[0.0000, 0.0000, 0.5000], [0.5000, 0.0000, 0.0000], [0.0000, 0.5000, 0.0000], [0.5000, 0.5000, 0.5000], [0.0000, 0.0000, 0.0000]],
  "dos_ef_per_ev_cell": 12.29,
  "crystal_system": "tetragonal",
  "formation_energy_uncorrected_mev_per_atom": 1279,
  "polymorph_energy_ev_per_fu": 5.09
}

{
  "formula": "AcSm2Pt",
  "functional": "PBE",
  "state": "relaxed",
  "lattice": [[-4.0266, -0.6068, -2.9690], [-1.7023, 0.0477, 6.5712], [-0.9514, 7.7959, -0.3031]],
  "species": ["Pt", "Pt", "Sm", "Sm", "Sm", "Sm", "Ac", "Ac"],
  "frac_coords": [[0.8002, 0.5999, 0.7500], [0.1998, 0.4001, 0.2500], [0.3469, 0.6935, 0.9656], [0.3469, 0.6935, 0.5344], [0.6531, 0.3065, 0.4656], [0.6531, 0.3065, 0.0344], [0.9587, 0.9176, 0.2500], [0.0413, 0.0824, 0.7500]],
  "dos_ef_per_ev_cell": 8.09,
  "crystal_system": "orthorhombic",
  "formation_energy_mev_per_atom": -611,
  "polymorph_energy_ev_per_fu": 0.07
}

{
  "formula": "Pr5NdCu6",
  "functional": "PBE",
  "state": "relaxed",
  "lattice": [[-0.7103, 5.0779, -0.3404], [-6.2448, -1.0994, -3.3659], [-7.1206, 1.9497, 4.9172]],
  "species": ["Nd", "Cu", "Cu", "Cu", "Cu", "Cu", "Cu", "Pr", "Pr", "Pr", "Pr", "Pr"],
  "frac_coords": [[0.0000, 0.0000, 0.0000], [0.4999, 0.2464, 0.9999], [0.1650, 0.9173, 0.6696], [0.8350, 0.5869, 0.3304], [0.1650, 0.4131, 0.6696], [0.8350, 0.0827, 0.3304], [0.5001, 0.7536, 0.0001], [0.6667, 0.6666, 0.6669], [0.3333, 0.3334, 0.3331], [0.6667, 0.1669, 0.6661], [0.0000, 0.5000, 0.0000], [0.3333, 0.8331, 0.3339]],
  "dos_ef_per_ev_cell": 10.67,
  "crystal_system": "monoclinic",
  "formation_energy_mev_per_atom": -122
}

{
  "formula": "CaMn2Pt",
  "functional": "PBE",
  "state": "relaxed",
  "lattice": [[4.7612, 0.0292, -0.0272], [3.4832, 3.2461, -0.0272], [1.2499, 0.4966, 4.8987]],
  "species": ["Mn", "Mn", "Pt", "Ca"],
  "frac_coords": [[0.5225, 0.5225, 0.3536], [0.9775, 0.9775, 0.1464], [0.2500, 0.2500, 0.2500], [0.7500, 0.7500, 0.7500]],
  "dos_ef_per_ev_cell": 1.81,
  "crystal_system": "monoclinic",
  "formation_energy_mev_per_atom": 116
}

{
  "formula": "Sr2RePb",
  "functional": "PBE",
  "state": "relaxed",
  "lattice": [[-0.6530, 5.5206, -1.0232], [-2.6056, 0.1280, -5.0144], [-1.4709, -2.8928, 4.6280]],
  "species": ["Re", "Sr", "Sr", "Pb"],
  "frac_coords": [[0.7500, 0.2500, 0.5000], [0.2500, 0.7500, 0.5000], [0.0000, 0.0000, 0.0000], [0.5000, 0.5000, 0.0000]],
  "dos_ef_per_ev_cell": 4.59,
  "crystal_system": "tetragonal",
  "formation_energy_mev_per_atom": 708
}

{
  "formula": "TbYGaAu",
  "functional": "PBE",
  "state": "relaxed",
  "lattice": [[3.8195, 0.0000, 0.0000], [0.0000, 4.5228, 0.0000], [-1.9098, 0.0000, 5.6036]],
  "species": ["Y", "Au", "Tb", "Ga"],
  "frac_coords": [[0.8573, 0.5000, 0.7147], [0.5798, 0.5000, 0.1596], [0.1445, 0.0000, 0.2890], [0.4183, 0.0000, 0.8366]],
  "dos_ef_per_ev_cell": 3.63,
  "crystal_system": "orthorhombic",
  "formation_energy_mev_per_atom": -732,
  "polymorph_energy_ev_per_fu": 0.00
}

{
  "formula": "GaCu2Sn2",
  "functional": "PBE",
  "state": "relaxed",
  "lattice": [[8.0570, 0.0000, 0.0000], [0.0000, 8.0570, 0.0000], [0.0000, 0.0000, 3.0740]],
  "species": ["Sn", "Sn", "Sn", "Sn", "Cu", "Cu", "Cu", "Cu", "Ga", "Ga"],
  "frac_coords": [[0.6744, 0.1744, 0.0000], [0.3256, 0.8256, 0.0000], [0.8256, 0.6744, 0.0000], [0.1744, 0.3256, 0.0000], [0.8830, 0.3830, 0.5000], [0.6170, 0.8830, 0.5000], [0.3830, 0.1170, 0.5000], [0.1170, 0.6170, 0.5000], [0.0000, 0.0000, 0.0000], [0.5000, 0.5000, 0.0000]],
  "dos_ef_per_ev_cell": 4.74,
  "crystal_system": "tetragonal",
  "formation_energy_mev_per_atom": 195,
  "polymorph_energy_ev_per_fu": 0.54
}

{
  "formula": "CsHfSn2",
  "functional": "PBE",
  "state": "relaxed",
  "lattice": [[-2.7597, 5.6348, 1.8586], [-5.6964, -3.0897, 0.9093], [-1.9099, -0.4508, 10.0504]],
  "species": ["Sn", "Sn", "Sn", "Sn", "Cs", "Cs", "Hf", "Hf"],
  "frac_coords": [[0.8830, 0.6250, 0.2500], [0.8670, 0.1250, 0.2500], [0.3750, 0.1330, 0.7500], [0.8750, 0.1170, 0.7500], [0.2500, 0.7500, 0.5000], [0.5000, 0.5000, 0.0000], [0.7500, 0.2500, 0.5000], [0.0000, 0.0000, 0.0000]],
  "dos_ef_per_ev_cell": 3.80,
  "crystal_system": "tetragonal",
  "formation_energy_mev_per_atom": 259,
  "polymorph_energy_ev_per_fu": 0.00
}